VASP calculation (PBEsol) on Zr3OsW after structural relaxation.

Lattice parameters (Å, degrees): 4.882 4.882 4.882 90.00 90.00 90.00
Space group Pm-3m (No. 221)
One atom of each set of equivalent atoms:
Zr: 0.000 0.000 0.500 [3 per cell]
Os: 0.500 0.500 0.500 [1 per cell]
W: 0.000 0.000 0.000 [1 per cell]

As for the formation energy from the elements: 1443 meV per atom. The value obtained for the density of states at the Fermi level is 1.168 states/eV per atom. The calculation puts the volume at 23.27 A^3/atom.



VASP calculation (PBEsol) on La3Tl after structural relaxation.

Lattice parameters (Å, degrees): 11.601 3.606 5.949 90.00 99.45 90.00
Space group C2/m (No. 12)
One atom of each set of equivalent atoms:
La: 0.000 0.000 0.000 [2 per cell]
La: 0.238 0.000 0.728 [4 per cell]
Tl: 0.000 0.500 0.500 [2 per cell]

As for the formation energy from the elements: -230 meV per atom. The value obtained for the density of states at the Fermi level is 1.029 states/eV per atom. The calculation puts the volume at 30.69 A^3/atom. The calculation puts the polymorph energy (0 for the lowest one) at 0.21 eV/f.u.



no.,magnetic moment (μB/cell)
1,0.00
2,0.00